DFT (PBE with a Hubbard U) results for CoSiN2O after structural relaxation. Values from VASP.

Quantum ESPRESSO input file:
```
&SYSTEM
  ibrav = 0, nat = 5, ntyp = 4
/
ATOMIC_SPECIES
Si 28.09 Si.upf
Co 58.93 Co.upf
O 16.00 O.upf
N 14.01 N.upf
ATOMIC_POSITIONS angstrom
Si 0.0000 0.0000 0.0000
Co -3.0280 0.5852 -0.3500
O -1.2594 -0.3348 1.2214
N -1.0516 -0.6988 -1.2758
N -0.7170 1.6187 -0.2957
CELL_PARAMETERS angstrom
-1.4340 3.2375 -0.5913
-2.1031 -1.3976 -2.5516
-2.5188 -0.6695 2.4429
```

Results
Total DFT energy (no corrections)   -31.62 eV/f.u.
SG   No. 123